Sm5Dy3Tm | Alexandria via LeMat-Bulk | GGA-PBE | relaxed; space group = C2/m (12); energy of formation from the pure elements = 501 meV/atom; crystal system = monoclinic; excess energy over the best structure of this formula in the dataset = 327.2 meV/atom
1.0
7.5920 -5.8096 0.0000
7.5920 5.8096 0.0000
-6.2854 0.0000 7.5784
Sm Dy Tm
10 6 2
direct
0.0986 0.6039 0.2591
0.2274 0.2274 0.2366
0.2459 0.7541 0.0000
0.2756 0.2756 0.9552
0.3961 0.9014 0.7409
0.6039 0.0986 0.2591
0.7244 0.7244 0.0448
0.7541 0.2459 0.0000
0.7726 0.7726 0.7634
0.9014 0.3961 0.7409
0.0000 0.0000 0.5000
0.0083 0.0083 0.8227
0.4844 0.4844 0.6465
0.5000 0.5000 0.0000
0.5156 0.5156 0.3535
0.9917 0.9917 0.1773
0.2484 0.2484 0.5956
0.7516 0.7516 0.4044

GaAgPtPb | Alexandria via LeMat-Bulk | GGA-PBE | relaxed; space group = Pm (6); energy of formation from the pure elements = -91 meV/atom; crystal system = monoclinic; excess energy over the best structure of this formula in the dataset = 92.9 meV/atom
1.0
3.9525 0.0000 0.0000
0.0000 3.2322 0.0000
-1.9357 0.0000 6.8609
Ga Ag Pt Pb
1 1 1 1
direct
0.0000 0.0000 0.0000
0.5647 0.5000 0.1326
0.3884 0.0000 0.7717
0.7813 0.5000 0.5502

In3PtAu2 | Alexandria via LeMat-Bulk | GGA-PBE | relaxed; space group = Cmcm (63); energy of formation from the pure elements = -172 meV/atom; crystal system = orthorhombic
1.0
5.6916 -5.4291 0.0000
5.6916 5.4291 0.0000
0.0000 0.0000 4.9786
In Pt Au
6 2 4
direct
0.0960 0.9040 0.7500
0.1740 0.4958 0.2500
0.4958 0.1740 0.7500
0.5042 0.8260 0.2500
0.8260 0.5042 0.7500
0.9040 0.0960 0.2500
0.1700 0.8300 0.2500
0.8300 0.1700 0.7500
0.1610 0.3118 0.7500
0.3118 0.1610 0.2500
0.6882 0.8390 0.7500
0.8390 0.6882 0.2500